No. 1
First-principles (PBE-GGA) data for an optimized crystal structure of Ca2YInC, as listed in the Alexandria database.

Cell: 5.1502 5.1502 4.7882 Å, 90.00 90.00 90.00°
Closest atoms and distances in Å follow each position.
Positions (direct):
Ca (0.5000, 0.0000, 0.0000)  2 C 2.58
Y (0.0000, 0.0000, 0.5000)  2 C 2.39
C (0.0000, 0.0000, 0.0000)  2 Y 2.39, 4 Ca 2.58
Ca (0.0000, 0.5000, 0.0000)  2 C 2.58
In (0.5000, 0.5000, 0.5000)  8 Ca 3.52, 4 Y 3.64

Space group   P4/mmm (123)
Energy relative to the elements   -0.162 eV/atom
Theoretical density   3.87 Mg/m³
Crystal system   tetragonal



No. 2
First-principles (PBE-GGA) data for an optimized crystal structure of ZrNi2As, as listed in the Alexandria database.

Cell: 3.8753 3.8753 8.9381 Å, 77.48 77.48 90.00°
Closest atoms and distances in Å follow each position.
Positions (direct):
Zr (0.7500, 0.2500, 0.5000)  4 Ni 2.60, 4 As 2.74
Ni (0.3750, 0.4167, 0.7500)  2 As 2.47, 2 Ni 2.52, 2 Zr 2.60
As (0.2500, 0.7500, 0.5000)  4 Ni 2.47, 4 Zr 2.74
As (0.5000, 0.5000, 0.0000)  4 Ni 2.47, 4 Zr 2.74
Ni (0.1667, 0.6250, 0.2500)  2 As 2.47, 2 Ni 2.52, 2 Zr 2.60
Ni (0.8750, 0.8333, 0.7500)  2 As 2.47, 2 Ni 2.52, 2 Zr 2.60
Ni (0.5833, 0.1250, 0.2500)  2 As 2.47, 2 Ni 2.52, 2 Zr 2.60
Zr (0.0000, 0.0000, 0.0000)  4 Ni 2.60, 4 As 2.74

Space group   I-42d (122)
Energy relative to the elements   -0.270 eV/atom
Theoretical density   7.37 Mg/m³
Crystal system   tetragonal



No. 3
First-principles (PBE-GGA) data for an optimized crystal structure of TiTc2Os, as listed in the Alexandria database.

Cell: 3.9740 3.8631 3.8631 Å, 90.00 90.00 90.00°
Closest atoms and distances in Å follow each position.
Positions (direct):
Ti (0.5000, 0.5000, 0.5000)  4 Os 2.73, 8 Tc 2.77
Tc (0.0000, 0.0000, 0.5000)  4 Tc 2.73, 4 Os 2.77, 4 Ti 2.77
Os (0.5000, 0.0000, 0.0000)  4 Ti 2.73, 8 Tc 2.77
Tc (0.0000, 0.5000, 0.0000)  4 Tc 2.73, 4 Os 2.77, 4 Ti 2.77

Space group   P4/mmm (123)
Energy relative to the elements   -0.057 eV/atom
Theoretical density   12.15 Mg/m³
Crystal system   tetragonal
Energy relative to the lowest polymorph listed for this composition   0.0194 eV per atom